# 1
Material: CeHoCCl
Method: DFT, PBE
State: optimized geometry

Lattice parameters (Å, degrees): 3.6139 3.6139 21.4757 90.00 90.00 120.00
Space group R3m (No. 160, hexagonal axes)
Asymmetric unit:
1 Ce 0.0000 0.0000 0.0000 x3
2 Ho 0.0000 0.0000 0.7925 x3
3 C 0.0000 0.0000 0.3998 x3
4 Cl 0.0000 0.0000 0.2199 x3

Output
* N(E_F): 4.35 states/eV/f.u.
* total DFT energy (no corrections): -6.44 eV/atom
* E_form (uncorrected): -1.04 eV per atom

---

# 2
Material: Ce8C3I4Cl
Method: DFT, PBE
State: optimized geometry

Lattice parameters (Å, degrees): 7.7747 7.7747 23.2014 90.00 90.00 120.00
Space group R-3m (No. 166, hexagonal axes)
Asymmetric unit:
1 Ce 0.0000 0.0000 0.2247 x6
2 Ce 0.0247 0.5123 0.7736 x18
3 C 0.0000 0.5000 0.5000 x9
4 I 0.0000 0.0000 0.0000 x3
5 I 0.0000 0.5000 0.0000 x9
6 Cl 0.0000 0.0000 0.5000 x3

Output
* N(E_F): 37.05 states/eV/f.u.
* total DFT energy (no corrections): -5.95 eV/atom
* E_form (uncorrected): -0.75 eV per atom

---

# 3
Material: Ce6C2I3Cl
Method: DFT, PBE
State: optimized geometry

Lattice parameters (Å, degrees): 6.7750 11.7478 8.0482 90.00 106.37 90.00
Space group C2/m (No. 12)
Asymmetric unit:
1 Ce 0.2006 0.0000 0.1787 x4
2 Ce 0.2396 0.3202 0.1794 x8
3 C 0.0000 0.1669 0.0000 x4
4 I 0.0000 0.0000 0.5000 x2
5 I 0.0000 0.3381 0.5000 x4
6 Cl 0.0000 0.5000 0.0000 x2

Output
* N(E_F): 29.03 states/eV/f.u.
* total DFT energy (no corrections): -5.84 eV/atom
* E_form (uncorrected): -0.80 eV per atom